1.
Here is Rb2SrH2Br2 after structural relaxation from Alexandria. Energies are from PBE.

calculated volume: 31.121 A^3/atom
D(E_F): 0.0 states/eV/cell
E: -3.10 eV/atom

Unit cell a=4.901 b=4.901 c=18.137 alpha=90.00 beta=90.00 gamma=90.00
Space group I4/mmm (No. 139)
Inequivalent atoms, fractional coordinates:
1 Rb 0.000 0.000 0.137 [4 per cell]
2 Sr 0.000 0.000 0.500 [2 per cell]
3 H 0.000 0.500 0.000 [4 per cell]
4 Br 0.000 0.000 0.332 [4 per cell]



2.
Here is RbTcH2Br8 after structural relaxation from Alexandria. Energies are from PBE.

calculated volume: 35.337 A^3/atom
D(E_F): 6.3 states/eV/cell
E: -3.13 eV/atom

Unit cell a=6.642 b=7.335 c=9.666 alpha=101.31 beta=90.92 gamma=112.63
Space group P-1 (No. 2)
Inequivalent atoms, fractional coordinates:
1 Rb 0.000 0.000 0.000 [1 per cell]
2 Tc 0.000 0.000 0.500 [1 per cell]
3 H 0.282 0.535 0.837 [2 per cell]
4 Br 0.204 0.257 0.361 [2 per cell]
5 Br 0.249 0.228 0.723 [2 per cell]
6 Br 0.260 0.835 0.451 [2 per cell]
7 Br 0.348 0.717 0.953 [2 per cell]



3.
Here is Rb2TmHBr6 after structural relaxation from Alexandria. Energies are from PBE.

calculated volume: 36.517 A^3/atom
D(E_F): 0.0 states/eV/cell
E: -3.45 eV/atom

Unit cell a=7.223 b=7.983 c=8.017 alpha=113.49 beta=109.73 gamma=102.33
Space group P-1 (No. 2)
Inequivalent atoms, fractional coordinates:
1 Rb 0.181 0.410 0.221 [2 per cell]
2 Tm 0.000 0.000 0.500 [1 per cell]
3 H 0.500 0.000 0.000 [1 per cell]
4 Br 0.213 0.866 0.289 [2 per cell]
5 Br 0.257 0.005 0.877 [2 per cell]
6 Br 0.260 0.391 0.661 [2 per cell]



4.
Here is RbUH2Br8 after structural relaxation from Alexandria. Energies are from PBE.

calculated volume: 41.841 A^3/atom
E: -3.71 eV/atom

Unit cell a=7.462 b=7.605 c=9.690 alpha=82.04 beta=70.52 gamma=76.03
Space group P-1 (No. 2)
Inequivalent atoms, fractional coordinates:
1 Rb 0.000 0.000 0.000 [1 per cell]
2 U 0.000 0.000 0.500 [1 per cell]
3 H 0.271 0.602 0.741 [2 per cell]
4 Br 0.208 0.127 0.629 [2 per cell]
5 Br 0.225 0.665 0.509 [2 per cell]
6 Br 0.247 0.076 0.233 [2 per cell]
7 Br 0.293 0.559 0.887 [2 per cell]